[1]
Below is a geometry-optimized Ga2SnTe structure, with properties calculated at the GGA-PBE level.

Cell: 3.978 3.978 7.805 Å, 75.24 75.24 60.00°
Element x y z (fractional)
Ga 0.081 0.081 0.757
Ga 0.251 0.251 0.247
Sn 0.499 0.499 0.503
Te 0.669 0.669 0.993

Properties
- Polymorph energy (0 for the lowest one): 138 meV per atom
- Uncorrected formation energy: -14.9 meV per atom
- Symmetry: R3m (160)
- Magnetization: 0.00 μB/f.u.
- Volume: 102 Å³/cell

***

[2]
Below is a geometry-optimized Ga2Sn2Te structure, with properties calculated at the GGA-PBE level.

Cell: 4.796 4.796 6.625 Å, 68.78 68.78 90.00°
Element x y z (fractional)
Te 0.000 0.000 0.000
Sn 0.750 0.250 0.500
Sn 0.250 0.750 0.500
Ga 0.393 0.393 0.214
Ga 0.607 0.607 0.786

Properties
- Polymorph energy (0 for the lowest one): 50 meV per atom
- Uncorrected formation energy: 89.3 meV per atom
- Symmetry: I4/mmm (139)
- Magnetization: 0.00 μB/f.u.
- Volume: 131 Å³/cell

***

[3]
Below is a geometry-optimized Ga6SnTe10 structure, with properties calculated at the GGA-PBE level.

Cell: 10.478 10.478 10.434 Å, 90.24 90.24 89.11°
Element x y z (fractional)
Ga 0.575 0.840 0.881
Ga 0.874 0.571 0.836
Ga 0.256 0.653 0.831
Ga 0.167 0.341 0.746
Ga 0.829 0.258 0.663
Ga 0.843 0.878 0.575
Ga 0.122 0.157 0.425
Ga 0.742 0.171 0.337
Ga 0.659 0.833 0.254
Ga 0.347 0.744 0.169
Ga 0.429 0.126 0.164
Ga 0.160 0.425 0.119
Sn 0.261 0.005 0.754
Sn 0.995 0.739 0.246
Te 0.175 0.825 0.000
Te 0.331 0.426 0.929
Te 0.504 0.083 0.921
Te 0.830 0.828 0.830
Te 0.999 0.183 0.836
Te 0.683 0.447 0.737
Te 0.433 0.758 0.685
Te 0.072 0.570 0.672
Te 0.677 0.072 0.570
Te 0.317 0.238 0.568
Te 0.084 0.916 0.500
Te 0.762 0.683 0.432
Te 0.928 0.323 0.430
Te 0.430 0.928 0.328
Te 0.242 0.567 0.315
Te 0.553 0.317 0.263
Te 0.817 0.001 0.164
Te 0.172 0.170 0.170
Te 0.917 0.496 0.079
Te 0.574 0.669 0.071

Properties
- Uncorrected formation energy: -325.7 meV per atom
- Symmetry: C2 (5)
- Magnetization: 0.00 μB/f.u.
- Volume: 1145 Å³/cell

***

[4]
Below is a geometry-optimized GaSnTe3 structure, with properties calculated at the GGA-PBE level.

Cell: 5.402 5.402 5.402 Å, 90.00 90.00 90.00°
Element x y z (fractional)
Te 0.000 0.500 0.000
Te 0.000 0.000 0.500
Te 0.500 0.000 0.000
Sn 0.500 0.500 0.500
Ga 0.000 0.000 0.000

Properties
- Polymorph energy (0 for the lowest one): 357 meV per atom
- Uncorrected formation energy: 216.0 meV per atom
- Symmetry: Pm-3m (221)
- Magnetization: 0.00 μB/f.u.
- Volume: 158 Å³/cell

***

[5]
Below is a geometry-optimized Ga2SnTe structure, with properties calculated at the GGA-PBE level.

Cell: 4.332 4.839 4.839 Å, 90.00 90.00 90.00°
Element x y z (fractional)
Te 0.500 0.500 0.500
Sn 0.500 0.000 0.000
Ga 0.000 0.000 0.500
Ga 0.000 0.500 0.000

Properties
- Polymorph energy (0 for the lowest one): 182 meV per atom
- Uncorrected formation energy: 29.0 meV per atom
- Symmetry: P4/mmm (123)
- Magnetization: 0.00 μB/f.u.
- Volume: 101 Å³/cell

***

[6]
Below is a geometry-optimized GaSn2Te structure, with properties calculated at the GGA-PBE level.

Cell: 6.585 6.585 8.110 Å, 66.05 66.05 90.00°
Element x y z (fractional)
Te 0.000 0.000 0.000
Te 0.750 0.250 0.500
Sn 0.582 0.125 0.250
Sn 0.168 0.625 0.250
Sn 0.375 0.418 0.750
Sn 0.875 0.832 0.750
Ga 0.500 0.500 0.000
Ga 0.250 0.750 0.500

Properties
- Polymorph energy (0 for the lowest one): 84 meV per atom
- Uncorrected formation energy: 59.5 meV per atom
- Symmetry: I-42d (122)
- Magnetization: 0.00 μB/f.u.
- Volume: 288 Å³/cell

***

[7]
Below is a geometry-optimized GaSnTe2 structure, with properties calculated at the GGA-PBE level.

Cell: 7.635 7.635 7.157 Å, 57.76 57.76 90.00°
Element x y z (fractional)
Te 0.599 0.125 0.250
Te 0.151 0.625 0.250
Te 0.375 0.401 0.750
Te 0.875 0.849 0.750
Sn 0.000 0.000 0.000
Sn 0.750 0.250 0.500
Ga 0.500 0.500 0.000
Ga 0.250 0.750 0.500

Properties
- Uncorrected formation energy: -92.8 meV per atom
- Symmetry: I-42d (122)
- Magnetization: 0.00 μB/f.u.
- Volume: 274 Å³/cell

***

[8]
Below is a geometry-optimized GaSn3Te structure, with properties calculated at the GGA-PBE level.

Cell: 5.889 5.889 5.889 Å, 90.00 90.00 90.00°
Element x y z (fractional)
Te 0.000 0.000 0.000
Sn 0.000 0.500 0.000
Sn 0.000 0.000 0.500
Sn 0.500 0.000 0.000
Ga 0.500 0.500 0.500

Properties
- Polymorph energy (0 for the lowest one): 380 meV per atom
- Uncorrected formation energy: 679.9 meV per atom
- Symmetry: Pm-3m (221)
- Magnetization: 0.00 μB/f.u.
- Volume: 204 Å³/cell

***

[9]
Below is a geometry-optimized GaSn2Te structure, with properties calculated at the GGA-PBE level.

Cell: 5.307 5.307 5.307 Å, 60.00 60.00 60.00°
Element x y z (fractional)
Te 0.500 0.500 0.500
Sn 0.250 0.250 0.250
Sn 0.750 0.750 0.750
Ga 0.000 0.000 0.000

Properties
- Polymorph energy (0 for the lowest one): 122 meV per atom
- Uncorrected formation energy: 97.8 meV per atom
- Symmetry: Fm-3m (225)
- Magnetization: 0.00 μB/f.u.
- Volume: 106 Å³/cell

***

[10]
Below is a geometry-optimized Ga2SnTe structure, with properties calculated at the GGA-PBE level.

Cell: 5.179 5.179 5.179 Å, 60.00 60.00 60.00°
Element x y z (fractional)
Te 0.500 0.500 0.500
Sn 0.000 0.000 0.000
Ga 0.250 0.250 0.250
Ga 0.750 0.750 0.750

Properties
- Polymorph energy (0 for the lowest one): 244 meV per atom
- Uncorrected formation energy: 91.3 meV per atom
- Symmetry: Fm-3m (225)
- Magnetization: 0.00 μB/f.u.
- Volume: 98 Å³/cell

***

[11]
Below is a geometry-optimized GaSnTe3 structure, with properties calculated at the GGA-PBE level.

Cell: 7.167 8.585 11.719 Å, 90.00 90.00 90.00°
Element x y z (fractional)
Ga 0.555 0.309 0.250
Ga 0.055 0.191 0.750
Ga 0.445 0.691 0.750
Ga 0.945 0.809 0.250
Sn 0.500 0.000 0.000
Sn 0.000 0.500 0.500
Sn 0.000 0.500 0.000
Sn 0.500 0.000 0.500
Te 0.896 0.159 0.954
Te 0.396 0.341 0.454
Te 0.396 0.341 0.046
Te 0.104 0.841 0.454
Te 0.104 0.841 0.046
Te 0.604 0.659 0.546
Te 0.604 0.659 0.954
Te 0.896 0.159 0.546
Te 0.630 0.987 0.250
Te 0.130 0.513 0.750
Te 0.370 0.013 0.750
Te 0.870 0.487 0.250

Properties
- Polymorph energy (0 for the lowest one): 0 meV per atom
- Uncorrected formation energy: -140.7 meV per atom
- Symmetry: Pnma (62)
- Magnetization: 0.00 μB/f.u.
- Volume: 721 Å³/cell

***

[12]
Below is a geometry-optimized Ga2Sn2Te structure, with properties calculated at the GGA-PBE level.

Cell: 8.078 8.078 3.892 Å, 90.00 90.00 90.00°
Element x y z (fractional)
Te 0.000 0.000 0.000
Te 0.500 0.500 0.000
Sn 0.196 0.696 0.500
Sn 0.696 0.804 0.500
Sn 0.804 0.304 0.500
Sn 0.304 0.196 0.500
Ga 0.384 0.884 0.000
Ga 0.884 0.616 0.000
Ga 0.616 0.116 0.000
Ga 0.116 0.384 0.000

Properties
- Polymorph energy (0 for the lowest one): 22 meV per atom
- Uncorrected formation energy: 62.0 meV per atom
- Symmetry: P4/mbm (127)
- Magnetization: 0.00 μB/f.u.
- Volume: 254 Å³/cell

***

[13]
Below is a geometry-optimized Ga2SnTe4 structure, with properties calculated at the GGA-PBE level.

Cell: 6.668 6.668 11.507 Å, 90.00 90.00 118.68°
Element x y z (fractional)
Te 0.660 0.803 0.000
Te 0.340 0.197 0.000
Te 0.197 0.340 0.500
Te 0.803 0.660 0.500
Te 0.500 0.000 0.320
Te 0.000 0.500 0.180
Te 0.500 0.000 0.680
Te 0.000 0.500 0.820
Sn 0.500 0.500 0.250
Sn 0.500 0.500 0.750
Ga 0.237 0.759 0.000
Ga 0.763 0.241 0.000
Ga 0.241 0.763 0.500
Ga 0.759 0.237 0.500

Properties
- Polymorph energy (0 for the lowest one): 0 meV per atom
- Uncorrected formation energy: -282.6 meV per atom
- Symmetry: Cccm (66)
- Magnetization: 0.00 μB/f.u.
- Volume: 449 Å³/cell

***

[14]
Below is a geometry-optimized GaSnTe2 structure, with properties calculated at the GGA-PBE level.

Cell: 4.262 4.262 8.051 Å, 74.65 74.65 60.00°
Element x y z (fractional)
Ga 0.496 0.496 0.513
Sn 0.667 0.667 0.999
Te 0.086 0.086 0.743
Te 0.252 0.252 0.244

Properties
- Uncorrected formation energy: -176.3 meV per atom
- Symmetry: R3m (160)
- Magnetization: 0.00 μB/f.u.
- Volume: 121 Å³/cell

***

[15]
Below is a geometry-optimized Ga2SnTe3 structure, with properties calculated at the GGA-PBE level.

Cell: 4.360 7.555 12.285 Å, 79.59 90.00 90.00°
Element x y z (fractional)
Ga 0.250 0.301 0.962
Ga 0.750 0.699 0.038
Ga 0.750 0.077 0.386
Ga 0.250 0.923 0.614
Sn 0.250 0.771 0.291
Sn 0.750 0.229 0.709
Te 0.750 0.014 0.177
Te 0.250 0.986 0.823
Te 0.750 0.507 0.842
Te 0.250 0.493 0.158
Te 0.250 0.239 0.461
Te 0.750 0.761 0.539

Properties
- Uncorrected formation energy: -187.8 meV per atom
- Symmetry: P2_1/m (11)
- Magnetization: 0.00 μB/f.u.
- Volume: 398 Å³/cell

***

[16]
Below is a geometry-optimized GaSnTe4 structure, with properties calculated at the GGA-PBE level.

Cell: 3.994 6.765 14.510 Å, 88.69 90.00 90.00°
Element x y z (fractional)
Ga 0.500 0.500 0.500
Ga 0.000 0.000 0.000
Sn 0.000 0.000 0.500
Sn 0.500 0.500 0.000
Te 0.500 0.177 0.374
Te 0.000 0.323 0.126
Te 0.500 0.823 0.626
Te 0.000 0.677 0.874
Te 0.999 0.650 0.380
Te 0.499 0.850 0.120
Te 0.001 0.350 0.620
Te 0.501 0.150 0.880

Properties
- Uncorrected formation energy: -55.3 meV per atom
- Symmetry: C2/m (12)
- Magnetization: 0.00 μB/f.u.
- Volume: 392 Å³/cell

***

[17]
Below is a geometry-optimized Ga2SnTe2 structure, with properties calculated at the GGA-PBE level.

Cell: 4.080 4.080 8.723 Å, 76.48 76.48 90.00°
Element x y z (fractional)
Te 0.397 0.397 0.207
Te 0.603 0.603 0.793
Sn 0.000 0.000 0.000
Ga 0.750 0.250 0.500
Ga 0.250 0.750 0.500

Properties
- Polymorph energy (0 for the lowest one): 13 meV per atom
- Uncorrected formation energy: -21.9 meV per atom
- Symmetry: I4/mmm (139)
- Magnetization: 0.00 μB/f.u.
- Volume: 137 Å³/cell

***

[18]
Below is a geometry-optimized GaSnTe2 structure, with properties calculated at the GGA-PBE level.

Cell: 5.383 5.383 5.383 Å, 60.00 60.00 60.00°
Element x y z (fractional)
Te 0.250 0.250 0.250
Te 0.750 0.750 0.750
Sn 0.500 0.500 0.500
Ga 0.000 0.000 0.000

Properties
- Uncorrected formation energy: 9.1 meV per atom
- Symmetry: Fm-3m (225)
- Magnetization: 0.00 μB/f.u.
- Volume: 110 Å³/cell

***

[19]
Below is a geometry-optimized Ga2SnTe structure, with properties calculated at the GGA-PBE level.

Cell: 3.857 3.857 9.614 Å, 78.43 78.43 60.00°
Element x y z (fractional)
Te 0.500 0.500 0.500
Sn 0.000 0.000 0.000
Ga 0.102 0.102 0.695
Ga 0.898 0.898 0.305

Properties
- Polymorph energy (0 for the lowest one): 273 meV per atom
- Uncorrected formation energy: 120.0 meV per atom
- Symmetry: R-3m (166)
- Magnetization: 0.00 μB/f.u.
- Volume: 120 Å³/cell

***

[20]
Below is a geometry-optimized GaSn2Te structure, with properties calculated at the GGA-PBE level.

Cell: 4.036 4.036 6.558 Å, 90.00 90.00 90.00°
Element x y z (fractional)
Te 0.500 0.500 0.000
Sn 0.000 0.000 0.742
Sn 0.000 0.000 0.258
Ga 0.500 0.500 0.500

Properties
- Polymorph energy (0 for the lowest one): 80 meV per atom
- Uncorrected formation energy: 55.6 meV per atom
- Symmetry: P4/mmm (123)
- Magnetization: 0.00 μB/f.u.
- Volume: 107 Å³/cell